No. 1
Computed, not measured: a relaxed structure of CdHg2P at the GGA-PBE level of DFT.

Summary:
crystal system	monoclinic
energy of formation	0.306	eV per formula unit
raw total energy	-1.6555	eV per atom
ρ	7.835	g cm⁻³
offset from the most stable computed form	0	meV/atom

abc: 4.4061 4.4061 7.2071
angles: 74.69 74.69 60.01
Sites, in units of the cell vectors:
Cd (0.6224, 0.6224, 0.6313)
Hg (0.1551, 0.1551, 0.0091)
Hg (0.4309, 0.4309, 0.2369)
P (0.2916, 0.2916, 0.6226)



No. 2
Computed, not measured: a relaxed structure of LaTaBe2 at the GGA-PBE level of DFT.

Summary:
crystal system	orthorhombic
energy of formation	1.237	eV per formula unit
raw total energy	-5.7488	eV per atom
ρ	7.590	g cm⁻³
offset from the most stable computed form	119	meV/atom

abc: 5.9891 5.9891 5.9891
angles: 146.15 141.59 52.11
Sites, in units of the cell vectors:
Be (0.9002, 0.9002, 0.0000)
Be (0.7911, 0.2911, 0.5000)
La (0.5354, 0.5354, 0.0000)
Ta (0.2733, 0.7733, 0.5000)



No. 3
Computed, not measured: a relaxed structure of Nd8Er3 at the GGA-PBE level of DFT.

Summary:
crystal system	trigonal
energy of formation	5.032	eV per formula unit
raw total energy	-4.2545	eV per atom
ρ	7.112	g cm⁻³
offset from the most stable computed form	107	meV/atom

abc: 7.3198 7.3198 7.3198
angles: 84.23 84.23 84.23
Sites, in units of the cell vectors:
Nd (0.8842, 0.3079, 0.1506)
Nd (0.3079, 0.1506, 0.8842)
Nd (0.1506, 0.8842, 0.3079)
Nd (0.3893, 0.3893, 0.3893)
Nd (0.6107, 0.6107, 0.6107)
Nd (0.8494, 0.1158, 0.6921)
Nd (0.6921, 0.8494, 0.1158)
Nd (0.1158, 0.6921, 0.8494)
Er (0.5000, 0.0000, 0.5000)
Er (0.0000, 0.5000, 0.5000)
Er (0.5000, 0.5000, 0.0000)



No. 4
Computed, not measured: a relaxed structure of La3Er2Tl3 at the GGA-PBE level of DFT.

Summary:
crystal system	hexagonal
energy of formation	-2.003	eV per formula unit
raw total energy	-4.1262	eV per atom
ρ	9.496	g cm⁻³
offset from the most stable computed form	67	meV/atom

abc: 3.4189 8.9769 8.9769
angles: 120.00 90.00 90.00
Sites, in units of the cell vectors:
La (0.0000, 0.7601, 0.7601)
La (0.0000, 0.2399, 0.0000)
La (0.0000, 0.0000, 0.2399)
Er (0.0000, 0.3333, 0.6667)
Er (0.0000, 0.6667, 0.3333)
Tl (0.5000, 0.3934, 0.3934)
Tl (0.5000, 0.6066, 0.0000)
Tl (0.5000, 0.0000, 0.6066)



No. 5
Computed, not measured: a relaxed structure of BaCaP at the GGA-PBE level of DFT.

Summary:
crystal system	monoclinic
energy of formation	-2.381	eV per formula unit
raw total energy	-3.9051	eV per atom
ρ	2.829	g cm⁻³

abc: 4.9406 9.0806 11.2085
angles: 94.01 102.73 90.00
Sites, in units of the cell vectors:
Ba (0.8978, 0.6390, 0.7957)
Ba (0.5774, 0.8345, 0.1549)
Ba (0.4226, 0.1655, 0.8451)
Ba (0.1022, 0.3610, 0.2043)
Ca (0.7579, 0.3701, 0.5158)
Ca (0.2402, 0.1178, 0.4803)
Ca (0.2421, 0.6299, 0.4842)
Ca (0.7598, 0.8822, 0.5197)
P (0.6784, 0.6049, 0.3567)
P (0.3254, 0.8823, 0.6508)
P (0.3216, 0.3951, 0.6433)
P (0.6746, 0.1177, 0.3492)



No. 6
Computed, not measured: a relaxed structure of Li4Cd6Ag at the GGA-PBE level of DFT.

Summary:
crystal system	monoclinic
energy of formation	-1.733	eV per formula unit
raw total energy	-1.6118	eV per atom
ρ	6.045	g cm⁻³

abc: 8.5669 8.5670 7.9410
angles: 56.98 143.13 139.78
Sites, in units of the cell vectors:
Li (0.9773, 0.6917, 0.9521)
Li (0.4925, 0.2840, 0.5324)
Li (0.7516, 0.9601, 0.4676)
Li (0.7395, 0.0251, 0.0479)
Cd (0.0034, 0.7865, 0.5572)
Cd (0.2168, 0.5134, 0.0245)
Cd (0.2294, 0.4462, 0.4428)
Cd (0.6067, 0.6067, 0.0000)
Cd (0.4889, 0.1923, 0.9755)
Cd (0.3904, 0.8904, 0.5000)
Ag (0.1036, 0.1036, 0.0000)